[1]
A geometry-optimized Sr2ScPb2 structure. Source: Alexandria, functional PBE-GGA.

```
data_Sr2ScPb2
_chemical_formula_sum 'Sr4 Sc2 Pb4'
_space_group_name_H-M_alt 'P 4/m b m'
_space_group_IT_number 127
_space_group_name_Hall '-P 4 2ab'
_cell_length_a 8.077
_cell_length_b 8.077
_cell_length_c 5.181
_cell_angle_alpha 90.00
_cell_angle_beta 90.00
_cell_angle_gamma 90.00
loop_
_atom_site_label
_atom_site_type_symbol
_atom_site_fract_x
_atom_site_fract_y
_atom_site_fract_z
Sr1 Sr 0.167 0.333 0.000
Sc1 Sc 0.000 0.000 0.500
Pb1 Pb 0.140 0.640 0.500
```

## Properties
For the density, the calculation gives 6.2 Mg/m³. The calculation puts the energy of formation at -0.417 eV/atom.

[2]
A geometry-optimized SrSc2Pb structure. Source: Alexandria, functional PBE-GGA.

```
data_SrSc2Pb
_chemical_formula_sum 'Sr1 Sc2 Pb1'
_space_group_name_H-M_alt 'P m m m'
_space_group_IT_number 47
_cell_length_a 3.599
_cell_length_b 4.233
_cell_length_c 7.911
_cell_angle_alpha 90.00
_cell_angle_beta 90.00
_cell_angle_gamma 90.00
loop_
_space_group_symop_operation_xyz
'x,y,z'
'-x,-y,-z'
'-x,-y,z'
'x,y,-z'
'x,-y,-z'
'-x,y,z'
'-x,y,-z'
'x,-y,z'
loop_
_atom_site_label
_atom_site_type_symbol
_atom_site_fract_x
_atom_site_fract_y
_atom_site_fract_z
Sr1 Sr 0.000 0.000 0.000
Sc1 Sc 0.500 0.500 0.309
Pb1 Pb 0.000 0.000 0.500
```

## Properties
For the density, the calculation gives 5.3 Mg/m³. The calculation puts the energy of formation at 0.008 eV/atom.

[3]
A geometry-optimized SrScPb6 structure. Source: Alexandria, functional PBE-GGA.

```
data_SrScPb6
_chemical_formula_sum 'Sr1 Sc1 Pb6'
_space_group_name_H-M_alt 'P 4/m m m'
_space_group_IT_number 123
_space_group_name_Hall '-P 4 2'
_cell_length_a 5.004
_cell_length_b 5.004
_cell_length_c 9.516
_cell_angle_alpha 90.00
_cell_angle_beta 90.00
_cell_angle_gamma 90.00
loop_
_atom_site_label
_atom_site_type_symbol
_atom_site_fract_x
_atom_site_fract_y
_atom_site_fract_z
Sr1 Sr 0.000 0.000 0.000
Sc1 Sc 0.000 0.000 0.500
Pb1 Pb 0.000 0.500 0.265
Pb2 Pb 0.500 0.500 0.000
Pb3 Pb 0.500 0.500 0.500
```

## Properties
For the density, the calculation gives 9.6 Mg/m³. The calculation puts the energy of formation at -0.248 eV/atom.

[4]
A geometry-optimized SrSc2Pb structure. Source: Alexandria, functional PBE-GGA.

```
data_SrSc2Pb
_chemical_formula_sum 'Sr2 Sc4 Pb2'
_space_group_name_H-M_alt 'I m m m'
_space_group_IT_number 71
_space_group_name_Hall '-I 2 2'
_cell_length_a 3.811
_cell_length_b 5.523
_cell_length_c 11.394
_cell_angle_alpha 90.00
_cell_angle_beta 90.00
_cell_angle_gamma 90.00
loop_
_atom_site_label
_atom_site_type_symbol
_atom_site_fract_x
_atom_site_fract_y
_atom_site_fract_z
Sr1 Sr 0.000 0.000 0.000
Sc1 Sc 0.000 0.500 0.214
Pb1 Pb 0.000 0.000 0.500
```

## Properties
For the density, the calculation gives 5.3 Mg/m³. The calculation puts the energy of formation at -0.074 eV/atom.

[5]
A geometry-optimized SrSc2Pb structure. Source: Alexandria, functional PBE-GGA.

```
data_SrSc2Pb
_chemical_formula_sum 'Sr2 Sc4 Pb2'
_space_group_name_H-M_alt 'I 4/m m m'
_space_group_IT_number 139
_space_group_name_Hall '-I 4 2'
_cell_length_a 4.784
_cell_length_b 4.784
_cell_length_c 9.937
_cell_angle_alpha 90.00
_cell_angle_beta 90.00
_cell_angle_gamma 90.00
loop_
_atom_site_label
_atom_site_type_symbol
_atom_site_fract_x
_atom_site_fract_y
_atom_site_fract_z
Sr1 Sr 0.000 0.000 0.000
Sc1 Sc 0.000 0.500 0.250
Pb1 Pb 0.000 0.000 0.500
```

## Properties
For the density, the calculation gives 5.6 Mg/m³. The calculation puts the energy of formation at 0.003 eV/atom.

[6]
A geometry-optimized ScTaPb2 structure. Source: Alexandria, functional PBE-GGA.

```
data_ScTaPb2
_chemical_formula_sum 'Sc3 Ta3 Pb6'
_space_group_name_H-M_alt 'R -3 m'
_space_group_IT_number 166
_space_group_name_Hall '-R 3 2"'
_cell_length_a 3.2884
_cell_length_b 3.2884
_cell_length_c 29.7954
_cell_angle_alpha 90.00
_cell_angle_beta 90.00
_cell_angle_gamma 120.00
loop_
_atom_site_label
_atom_site_type_symbol
_atom_site_fract_x
_atom_site_fract_y
_atom_site_fract_z
Sc1 Sc 0.0000 0.0000 0.0000
Ta1 Ta 0.0000 0.0000 0.5000
Pb1 Pb 0.0000 0.0000 0.2466
```

## Properties
For the density, the calculation gives 11.4 Mg/m³. The calculation puts the excess energy over the best structure of this formula in the dataset at 9.0 kJ per mole of atoms. The calculation puts the energy of formation at 0.263 eV/atom.

[7]
A geometry-optimized ScTaPb2 structure. Source: Alexandria, functional PBE-GGA.

```
data_ScTaPb2
_chemical_formula_sum 'Sc1 Ta1 Pb2'
_space_group_name_H-M_alt 'P 4/m m m'
_space_group_IT_number 123
_space_group_name_Hall '-P 4 2'
_cell_length_a 4.676
_cell_length_b 4.676
_cell_length_c 4.163
_cell_angle_alpha 90.00
_cell_angle_beta 90.00
_cell_angle_gamma 90.00
loop_
_atom_site_label
_atom_site_type_symbol
_atom_site_fract_x
_atom_site_fract_y
_atom_site_fract_z
Sc1 Sc 0.000 0.000 0.000
Ta1 Ta 0.500 0.500 0.000
Pb1 Pb 0.000 0.500 0.500
```

## Properties
For the density, the calculation gives 11.7 Mg/m³. The calculation puts the excess energy over the best structure of this formula in the dataset at 9.5 kJ per mole of atoms. The calculation puts the energy of formation at 0.268 eV/atom.

[8]
A geometry-optimized ScTaPb2 structure. Source: Alexandria, functional PBE-GGA.

```
data_ScTaPb2
_chemical_formula_sum 'Sc2 Ta2 Pb4'
_space_group_name_H-M_alt 'I 4/m m m'
_space_group_IT_number 139
_space_group_name_Hall '-I 4 2'
_cell_length_a 4.639
_cell_length_b 4.639
_cell_length_c 8.424
_cell_angle_alpha 90.00
_cell_angle_beta 90.00
_cell_angle_gamma 90.00
loop_
_atom_site_label
_atom_site_type_symbol
_atom_site_fract_x
_atom_site_fract_y
_atom_site_fract_z
Sc1 Sc 0.000 0.000 0.000
Ta1 Ta 0.000 0.000 0.500
Pb1 Pb 0.000 0.500 0.250
```

## Properties
For the density, the calculation gives 11.7 Mg/m³. The calculation puts the excess energy over the best structure of this formula in the dataset at 6.0 kJ per mole of atoms. The calculation puts the energy of formation at 0.232 eV/atom.

[9]
A geometry-optimized Sc2TaPb2 structure. Source: Alexandria, functional PBE-GGA.

```
data_Sc2TaPb2
_chemical_formula_sum 'Sc4 Ta2 Pb4'
_space_group_name_H-M_alt 'P 4/m b m'
_space_group_IT_number 127
_space_group_name_Hall '-P 4 2ab'
_cell_length_a 7.616
_cell_length_b 7.616
_cell_length_c 4.001
_cell_angle_alpha 90.00
_cell_angle_beta 90.00
_cell_angle_gamma 90.00
loop_
_atom_site_label
_atom_site_type_symbol
_atom_site_fract_x
_atom_site_fract_y
_atom_site_fract_z
Sc1 Sc 0.166 0.334 0.000
Ta1 Ta 0.000 0.000 0.500
Pb1 Pb 0.143 0.643 0.500
```

## Properties
For the density, the calculation gives 9.8 Mg/m³. The calculation puts the energy of formation at 0.021 eV/atom.

[10]
A geometry-optimized ScTaPb2 structure. Source: Alexandria, functional PBE-GGA.

```
data_ScTaPb2
_chemical_formula_sum 'Sc4 Ta4 Pb8'
_space_group_name_H-M_alt 'F -4 3 m'
_space_group_IT_number 216
_space_group_name_Hall 'F -4 2 3'
_cell_length_a 7.327
_cell_length_b 7.327
_cell_length_c 7.327
_cell_angle_alpha 90.00
_cell_angle_beta 90.00
_cell_angle_gamma 90.00
loop_
_atom_site_label
_atom_site_type_symbol
_atom_site_fract_x
_atom_site_fract_y
_atom_site_fract_z
Sc1 Sc 0.000 0.000 0.000
Ta1 Ta 0.250 0.250 0.250
Pb1 Pb 0.000 0.000 0.500
Pb2 Pb 0.250 0.250 0.750
```

## Properties
For the density, the calculation gives 10.8 Mg/m³. The calculation puts the excess energy over the best structure of this formula in the dataset at 40.6 kJ per mole of atoms. The calculation puts the energy of formation at 0.591 eV/atom.

[11]
A geometry-optimized ScTaPb2 structure. Source: Alexandria, functional PBE-GGA.

```
data_ScTaPb2
_chemical_formula_sum 'Sc2 Ta2 Pb4'
_space_group_name_H-M_alt 'I m m 2'
_space_group_IT_number 44
_cell_length_a 4.195
_cell_length_b 4.389
_cell_length_c 9.907
_cell_angle_alpha 90.00
_cell_angle_beta 90.00
_cell_angle_gamma 90.00
loop_
_space_group_symop_operation_xyz
'x,y,z'
'-x,-y,z'
'-x,y,z'
'x,-y,z'
'x+1/2,y+1/2,z+1/2'
'-x+1/2,-y+1/2,z+1/2'
'-x+1/2,y+1/2,z+1/2'
'x+1/2,-y+1/2,z+1/2'
loop_
_atom_site_label
_atom_site_type_symbol
_atom_site_fract_x
_atom_site_fract_y
_atom_site_fract_z
Sc1 Sc 0.000 0.000 0.000
Ta1 Ta 0.000 0.500 0.747
Pb1 Pb 0.000 0.000 0.495
Pb2 Pb 0.000 0.500 0.249
```

## Properties
For the density, the calculation gives 11.7 Mg/m³. The calculation puts the excess energy over the best structure of this formula in the dataset at 6.6 kJ per mole of atoms. The calculation puts the energy of formation at 0.238 eV/atom.

[12]
A geometry-optimized ScTaPb2 structure. Source: Alexandria, functional PBE-GGA.

```
data_ScTaPb2
_chemical_formula_sum 'Sc4 Ta4 Pb8'
_space_group_name_H-M_alt 'I -4 2 d'
_space_group_IT_number 122
_space_group_name_Hall 'I -4 2bw'
_cell_length_a 7.921
_cell_length_b 7.921
_cell_length_c 6.316
_cell_angle_alpha 90.00
_cell_angle_beta 90.00
_cell_angle_gamma 90.00
loop_
_atom_site_label
_atom_site_type_symbol
_atom_site_fract_x
_atom_site_fract_y
_atom_site_fract_z
Sc1 Sc 0.000 0.000 0.000
Ta1 Ta 0.000 0.000 0.500
Pb1 Pb 0.242 0.250 0.625
```

## Properties
For the density, the calculation gives 10.7 Mg/m³. The calculation puts the excess energy over the best structure of this formula in the dataset at 21.8 kJ per mole of atoms. The calculation puts the energy of formation at 0.396 eV/atom.

[13]
A geometry-optimized ScTa3Pb structure. Source: Alexandria, functional PBE-GGA.

```
data_ScTa3Pb
_chemical_formula_sum 'Sc1 Ta3 Pb1'
_space_group_name_H-M_alt 'P m -3 m'
_space_group_IT_number 221
_space_group_name_Hall '-P 4 2 3'
_cell_length_a 5.126
_cell_length_b 5.126
_cell_length_c 5.126
_cell_angle_alpha 90.00
_cell_angle_beta 90.00
_cell_angle_gamma 90.00
loop_
_atom_site_label
_atom_site_type_symbol
_atom_site_fract_x
_atom_site_fract_y
_atom_site_fract_z
Sc1 Sc 0.000 0.000 0.000
Ta1 Ta 0.000 0.500 0.500
Pb1 Pb 0.500 0.500 0.500
```

## Properties
For the density, the calculation gives 9.8 Mg/m³. The calculation puts the excess energy over the best structure of this formula in the dataset at 23.7 kJ per mole of atoms. The calculation puts the energy of formation at 2.013 eV/atom.

[14]
A geometry-optimized ScTaPb4 structure. Source: Alexandria, functional PBE-GGA.

```
data_ScTaPb4
_chemical_formula_sum 'Sc4 Ta4 Pb16'
_space_group_name_H-M_alt 'F -4 3 m'
_space_group_IT_number 216
_space_group_name_Hall 'F -4 2 3'
_cell_length_a 8.816
_cell_length_b 8.816
_cell_length_c 8.816
_cell_angle_alpha 90.00
_cell_angle_beta 90.00
_cell_angle_gamma 90.00
loop_
_atom_site_label
_atom_site_type_symbol
_atom_site_fract_x
_atom_site_fract_y
_atom_site_fract_z
Sc1 Sc 0.000 0.000 0.000
Ta1 Ta 0.250 0.250 0.750
Pb1 Pb 0.125 0.125 0.375
```

## Properties
For the density, the calculation gives 10.2 Mg/m³. The calculation puts the energy of formation at 0.778 eV/atom.